An optimized crystal structure of Sb2AuO, computed with PBE-GGA.

Values from the calculation:
Magnetization in μB per cell: 0.0
Raw total energy in eV per atom: -4.3631
Energy above the most stable polymorph in this dataset in meV per atom: 0
Formation energy (no corrections) in kJ/mol of atoms: -23
Symmetry: No. 122

The structure in POSCAR format:
```
Sb2AuO
1.0
-2.578 2.578 6.940
2.578 -2.578 6.940
2.578 2.578 -6.940
Sb Au O
4 2 2
Direct
0.037 0.625 0.912
0.375 0.287 0.412
0.713 0.125 0.088
0.875 0.963 0.588
0.250 0.750 0.500
0.500 0.500 0.000
0.000 0.000 0.000
0.750 0.250 0.500
```


An optimized crystal structure of PmPuAgSb, computed with PBE-GGA.

Values from the calculation:
Magnetization in μB per cell: 7.0
Raw total energy in eV per atom: -6.9568
Formation energy (no corrections) in kJ/mol of atoms: -43
Symmetry: No. 216

The structure in POSCAR format:
```
PmPuAgSb
1.0
0.000 3.766 3.766
3.766 0.000 3.766
3.766 3.766 0.000
Pm Pu Ag Sb
1 1 1 1
Direct
0.000 0.000 0.000
0.500 0.500 0.500
0.250 0.250 0.250
0.750 0.750 0.750
```


An optimized crystal structure of PmGdTmCd, computed with PBE-GGA.

Values from the calculation:
Magnetization in μB per cell: 7.7
Raw total energy in eV per atom: -6.1077
Energy of formation from the pure elements in eV/atom: -0.05
Symmetry: No. 216

The structure in POSCAR format:
```
PmGdTmCd
1.0
0.000 3.877 3.877
3.877 0.000 3.877
3.877 3.877 0.000
Pm Gd Tm Cd
1 1 1 1
Direct
0.000 0.000 0.000
0.500 0.500 0.500
0.750 0.750 0.750
0.250 0.250 0.250
```


An optimized crystal structure of MnGeIr2, computed with PBE-GGA.

Values from the calculation:
Magnetization in μB per cell: 0.0
Raw total energy in eV per atom: -7.3063
Energy of formation from the pure elements in eV/atom: 0.57
Symmetry: No. 122

The structure in POSCAR format:
```
MnGeIr2
1.0
-2.692 2.692 5.459
2.692 -2.692 5.459
2.692 2.692 -5.459
Mn Ge Ir
2 2 4
Direct
0.000 0.000 0.000
0.750 0.250 0.500
0.250 0.750 0.500
0.500 0.500 0.000
0.100 0.625 0.975
0.375 0.350 0.475
0.650 0.125 0.025
0.875 0.900 0.525
```


An optimized crystal structure of Ho5PaAs6, computed with PBE-GGA.

Values from the calculation:
Magnetization in μB per cell: 0.0
Raw total energy in eV per atom: -6.4853
Energy of formation from the pure elements in eV/atom: -1.46
Symmetry: No. 12

The structure in POSCAR format:
```
Ho5PaAs6
1.0
3.545 -6.140 0.000
3.545 6.140 0.000
-2.359 0.000 6.684
Ho Pa As
5 1 6
Direct
0.000 0.000 0.000
0.166 0.834 0.500
0.332 0.668 0.000
0.668 0.332 0.000
0.834 0.166 0.500
0.500 0.500 0.500
0.087 0.417 0.251
0.253 0.253 0.748
0.417 0.087 0.251
0.583 0.913 0.749
0.747 0.747 0.252
0.913 0.583 0.749
```


An optimized crystal structure of Sm8Sb5Pb, computed with PBE-GGA.

Values from the calculation:
Magnetization in μB per cell: 0.0
Raw total energy in eV per atom: -5.3993
Formation energy (no corrections) in kJ/mol of atoms: -93
Symmetry: No. 82

The structure in POSCAR format:
```
Sm8Sb5Pb
1.0
-4.714 4.714 4.711
4.714 -4.714 4.711
4.714 4.714 -4.711
Sm Sb Pb
8 5 1
Direct
0.121 0.375 0.605
0.122 0.374 0.108
0.266 0.015 0.892
0.484 0.879 0.254
0.625 0.230 0.746
0.626 0.734 0.749
0.770 0.516 0.395
0.985 0.878 0.251
0.000 0.625 0.877
0.250 0.750 0.500
0.375 0.252 0.375
0.748 0.123 0.123
0.877 0.000 0.625
0.500 0.500 0.000
```


An optimized crystal structure of CaPRuN2, computed with PBE-GGA.

Values from the calculation:
Magnetization in μB per cell: 1.4
Raw total energy in eV per atom: -5.0805
Energy above the most stable polymorph in this dataset in meV per atom: 713
Formation energy (no corrections) in kJ/mol of atoms: 153
Symmetry: No. 123

The structure in POSCAR format:
```
CaPRuN2
1.0
3.559 0.000 0.000
0.000 3.559 0.000
0.000 0.000 6.292
Ca P Ru N
1 1 1 2
Direct
0.000 0.000 0.000
0.000 0.000 0.500
0.500 0.500 0.000
0.000 0.500 0.500
0.500 0.000 0.500
```


An optimized crystal structure of Er4CoAg, computed with PBE-GGA.

Values from the calculation:
Magnetization in μB per cell: 0.0
Raw total energy in eV per atom: -4.7321
Energy above the most stable polymorph in this dataset in meV per atom: 222
Energy of formation from the pure elements in eV/atom: -0.03
Symmetry: No. 12

The structure in POSCAR format:
```
Er4CoAg
1.0
3.368 -3.368 0.000
3.368 3.368 0.000
-0.019 0.000 6.982
Er Co Ag
4 1 1
Direct
0.001 0.500 0.773
0.500 0.001 0.773
0.500 0.999 0.227
0.999 0.500 0.227
0.000 0.000 0.000
0.500 0.500 0.500
```